Below is a PBEsol-optimized structure of CaYNi4, with properties calculated at the meta-GGA SCAN level.

Cell and atoms, written as POSCAR:
```
CaYNi4
1.0
-2.8723 -1.5567 3.7681
-0.2227 -4.8534 1.1255
2.0944 -1.6841 4.2010
Ni Ca Y
4 1 1
Cartesian
-0.3752 -3.0351 3.4103
0.6723 -3.8774 5.5112
-0.4865 -5.4623 3.9731
-1.8116 -3.8136 5.2947
0.0000 0.0000 0.0000
-0.7504 -6.0707 6.8210
```

Calculated values
- ΔH_f (0 K) (kJ per mole of atoms) = -26.5
- symmetry = No. 216
- size of the total moment (μB/f.u.) = 0.001
- DOS at the Fermi energy (states/eV/cell) = 6.7
- uncorrected energy (eV per formula unit) = -103.84